VASP calculation (PBE) on a relaxed Zr3Ag crystal.

formation enthalpy at 0 K	0.039	eV/atom
calculated volume	172.1	Å³/cell

Unit cell a=5.1482 b=6.0948 c=5.4838 alpha=90.00 beta=90.00 gamma=90.00
Space group Pmmn (No. 59, origin choice 2)
Symmetry-distinct sites (fractional):
Zr 0.2500 0.0015 0.1342 [4 per cell]
Zr 0.2500 0.2500 0.6310 [2 per cell]
Ag 0.2500 0.7500 0.6521 [2 per cell]

=====

VASP calculation (PBE) on a relaxed TbPmPO crystal.

final energy	-6.92	eV per atom
calculated volume	180.4	Å³/cell

Unit cell a=4.2222 b=7.7958 c=5.4795 alpha=90.00 beta=90.00 gamma=90.00
Space group Pmc2_1 (No. 26)
Symmetry-distinct sites (fractional):
Tb 0.0000 0.2051 0.0000 [2 per cell]
Pm 0.5000 0.3665 0.5119 [2 per cell]
P 0.0000 0.1479 0.5002 [2 per cell]
O 0.5000 0.3289 0.9862 [2 per cell]

=====

no.,total magnetic moment (μB/f.u.)
1,0.02
2,0.00